Record 1
Entry from Alexandria via LeMat-Bulk: a relaxed structure of CeErTmAg (PBE).

Calculated values
Space group: F-43m (216)

Unit cell a=5.265 b=5.265 c=5.265 alpha=60.00 beta=60.00 gamma=60.00
Atoms (fractional coordinates):
Ce: 0.000 0.000 0.000
Er: 0.750 0.750 0.750
Tm: 0.250 0.250 0.250
Ag: 0.500 0.500 0.500

---

Record 2
Entry from Alexandria via LeMat-Bulk: a relaxed structure of PmMgPdPb (PBE).

Calculated values
Space group: F-43m (216)

Unit cell a=5.102 b=5.102 c=5.102 alpha=60.00 beta=60.00 gamma=60.00
Atoms (fractional coordinates):
Pm: 0.000 0.000 0.000
Mg: 0.500 0.500 0.500
Pd: 0.750 0.750 0.750
Pb: 0.250 0.250 0.250

---

Record 3
Entry from Alexandria via LeMat-Bulk: a relaxed structure of CdP2 (PBE).

Calculated values
Space group: P6_3/mmc (194)

Unit cell a=4.755 b=4.755 c=5.569 alpha=90.00 beta=90.00 gamma=120.00
Atoms (fractional coordinates):
Cd: 0.333 0.667 0.250
Cd: 0.667 0.333 0.750
P: 0.000 0.000 0.000
P: 0.000 0.000 0.500
P: 0.333 0.667 0.750
P: 0.667 0.333 0.250

---

Record 4
Entry from Alexandria via LeMat-Bulk: a relaxed structure of KBaAl3 (PBE).

Calculated values
Space group: Pm-3m (221)

Unit cell a=6.191 b=6.191 c=6.191 alpha=90.00 beta=90.00 gamma=90.00
Atoms (fractional coordinates):
K: 0.000 0.000 0.000
Ba: 0.500 0.500 0.500
Al: 0.000 0.500 0.500
Al: 0.500 0.000 0.500
Al: 0.500 0.500 0.000

---

Formation energy for the records above, in order: 0.5, -2.0, 2.1, 5.0 eV per formula unit